DFT (PBE with a Hubbard U) results for an optimized crystal structure of PrMnSeO2.

Cell: 5.488 5.592 6.567 Å, 115.20 90.00 90.00°
Each line ends with the local moment (μB).
Fractional positions:
Pr 0.250 0.630 0.259  0.02
Pr 0.750 0.370 0.741  0.02
Mn 0.250 0.991 0.982  3.80
Mn 0.750 0.009 0.018  3.80
Se 0.750 0.759 0.519  0.05
Se 0.250 0.241 0.481  0.05
O 0.500 0.241 0.000  -0.02
O 0.000 0.759 0.000  -0.02
O 0.500 0.759 0.000  -0.02
O 0.000 0.241 0.000  -0.02

Values from the calculation:
E_tot: -7.15 eV per atom
Total magnetic moment: 8.000 μB per cell